This record from Alexandria via LeMat-Bulk describes an optimized crystal structure of Cs2NaYBr6. The functional is GGA-PBEsol.

Unit cell a=7.932 b=7.932 c=7.932 alpha=60.00 beta=60.00 gamma=60.00
Element x y z (fractional)
Cs1 0.750 0.750 0.750
Cs2 0.250 0.250 0.250
Na1 0.500 0.500 0.500
Y1 0.000 0.000 0.000
Br1 0.755 0.245 0.245
Br2 0.755 0.755 0.245
Br3 0.245 0.755 0.755
Br4 0.755 0.245 0.755
Br5 0.245 0.755 0.245
Br6 0.245 0.245 0.755

## Properties
For the formation energy from raw total energies, the calculation gives -176 kJ/mol of atoms. The calculation puts the total magnetization at 0.00 Bohr magnetons per cell. Its density of states at the Fermi level is 0.00 states/eV per cell.


This record from Alexandria via LeMat-Bulk describes an optimized crystal structure of Li4Mn3Cr3Sb2O16. The functional is GGA-PBEsol.

Unit cell a=5.827 b=5.887 c=9.618 alpha=91.45 beta=90.00 gamma=119.66
Last column: magnetic moment on the atom in μB.
Element x y z (fractional)
Li1 0.339 0.678 0.094  0.00
Li2 0.001 0.001 0.011  0.00
Li3 0.994 0.988 0.510  0.00
Li4 0.664 0.328 0.598  0.00
Mn1 0.168 0.335 0.789  3.59
Mn2 0.829 0.166 0.288  3.71
Mn3 0.337 0.166 0.288  3.71
Cr1 0.660 0.829 0.786  2.77
Cr2 0.168 0.829 0.786  2.77
Cr3 0.829 0.659 0.285  2.70
Sb1 0.329 0.659 0.515  0.07
Sb2 0.672 0.344 0.013  0.07
O1 0.663 0.820 0.407  0.07
O2 0.481 0.961 0.663  -0.02
O3 0.331 0.661 0.886  0.01
O4 0.002 0.004 0.697  0.02
O5 0.999 0.997 0.199  0.02
O6 0.158 0.820 0.407  0.07
O7 0.489 0.521 0.657  0.04
O8 0.032 0.521 0.657  0.04
O9 0.838 0.676 0.899  0.03
O10 0.158 0.317 0.407  0.06
O11 0.975 0.506 0.152  0.06
O12 0.531 0.506 0.152  0.06
O13 0.667 0.335 0.385  0.01
O14 0.834 0.163 0.905  0.05
O15 0.523 0.046 0.153  0.05
O16 0.329 0.163 0.905  0.05

## Properties
For the formation energy from raw total energies, the calculation gives -175 kJ/mol of atoms. The calculation puts the total magnetization at 21.04 Bohr magnetons per cell. Its density of states at the Fermi level is 2.81 states/eV per cell.


This record from Alexandria via LeMat-Bulk describes an optimized crystal structure of Fe2NiRh. The functional is GGA-PBEsol.

Unit cell a=2.876 b=4.081 c=4.765 alpha=115.35 beta=107.57 gamma=90.00
Last column: magnetic moment on the atom in μB.
Element x y z (fractional)
Ni1 0.487 0.487 0.974  0.81
Rh1 0.255 0.755 0.511  0.75
Fe1 0.011 0.011 0.021  2.79
Fe2 0.747 0.247 0.494  2.76

## Properties
The energy of formation from the pure elements is 0.07 eV/atom. The calculation puts the total magnetization at 7.07 Bohr magnetons per cell. Its density of states at the Fermi level is 4.70 states/eV per cell.


This record from Alexandria via LeMat-Bulk describes an optimized crystal structure of BeCdCu. The functional is GGA-PBEsol.

Unit cell a=4.099 b=4.099 c=4.099 alpha=60.00 beta=60.00 gamma=60.00
Element x y z (fractional)
Be1 0.500 0.500 0.500
Cu1 0.000 0.000 0.000
Cd1 0.250 0.250 0.250

## Properties
The energy of formation from the pure elements is 0.66 eV/atom. The calculation puts the total magnetization at 0.00 Bohr magnetons per cell. Its density of states at the Fermi level is 1.41 states/eV per cell.


This record from Alexandria via LeMat-Bulk describes an optimized crystal structure of MnCu2Ag. The functional is GGA-PBEsol.

Unit cell a=4.216 b=4.216 c=4.216 alpha=60.00 beta=60.00 gamma=60.00
Last column: magnetic moment on the atom in μB.
Element x y z (fractional)
Ag1 0.000 0.000 0.000  -0.02
Cu1 0.750 0.750 0.750  0.08
Cu2 0.250 0.250 0.250  0.08
Mn1 0.500 0.500 0.500  3.62

## Properties
The energy of formation from the pure elements is 0.23 eV/atom. The calculation puts the total magnetization at 3.79 Bohr magnetons per cell. Its density of states at the Fermi level is 1.99 states/eV per cell. The relative energy among the computed polymorphs is 0.022 eV/atom.


This record from Alexandria via LeMat-Bulk describes an optimized crystal structure of Mg2Ta2NiO8. The functional is GGA-PBEsol.

Unit cell a=5.128 b=5.903 c=9.747 alpha=107.63 beta=89.77 gamma=90.00
Last column: magnetic moment on the atom in μB.
Element x y z (fractional)
Mg1 0.754 0.417 0.546  0.00
Mg2 0.746 0.871 0.454  0.00
Mg3 0.246 0.583 0.454  0.00
Mg4 0.254 0.129 0.546  0.00
Ta1 0.748 0.277 0.226  0.05
Ta2 0.752 0.052 0.774  0.05
Ta3 0.252 0.723 0.774  0.05
Ta4 0.248 0.948 0.226  0.05
Ni1 0.750 0.637 0.000  1.56
Ni2 0.250 0.363 0.000  1.56
O1 0.088 0.183 0.135  0.04
O2 0.412 0.048 0.865  0.04
O3 0.912 0.817 0.865  0.04
O4 0.588 0.952 0.135  0.04
O5 0.583 0.436 0.113  0.10
O6 0.917 0.323 0.887  0.10
O7 0.417 0.564 0.887  0.10
O8 0.083 0.677 0.113  0.10
O9 0.456 0.284 0.370  0.01
O10 0.044 0.915 0.630  0.01
O11 0.956 0.085 0.370  0.01
O12 0.544 0.716 0.630  0.01
O13 0.382 0.835 0.380  0.00
O14 0.118 0.455 0.620  0.00
O15 0.618 0.165 0.620  0.00
O16 0.882 0.545 0.380  0.00

## Properties
For the formation energy from raw total energies, the calculation gives -239 kJ/mol of atoms. The calculation puts the total magnetization at 4.05 Bohr magnetons per cell.


This record from Alexandria via LeMat-Bulk describes an optimized crystal structure of FePt2. The functional is GGA-PBEsol.

Unit cell a=3.823 b=3.823 c=11.785 alpha=99.34 beta=99.34 gamma=90.00
Last column: magnetic moment on the atom in μB.
Element x y z (fractional)
Fe1 0.915 0.915 0.830  2.99
Fe2 0.085 0.085 0.170  2.99
Fe3 0.165 0.665 0.330  2.99
Fe4 0.335 0.835 0.670  2.99
Pt1 0.749 0.749 0.498  0.27
Pt2 0.251 0.251 0.502  0.27
Pt3 0.999 0.499 0.998  0.27
Pt4 0.501 0.001 0.002  0.27
Pt5 0.585 0.585 0.170  0.30
Pt6 0.415 0.415 0.830  0.30
Pt7 0.835 0.335 0.670  0.30
Pt8 0.665 0.165 0.330  0.30

## Properties
The energy of formation from the pure elements is -0.18 eV/atom. The calculation puts the total magnetization at 14.38 Bohr magnetons per cell. Its density of states at the Fermi level is 9.69 states/eV per cell.


This record from Alexandria via LeMat-Bulk describes an optimized crystal structure of KGa2Pd2. The functional is GGA-PBEsol.

Unit cell a=4.375 b=4.375 c=6.090 alpha=111.05 beta=111.05 gamma=90.00
Element x y z (fractional)
K1 0.000 0.000 0.000
Ga1 0.250 0.750 0.500
Ga2 0.750 0.250 0.500
Pd1 0.370 0.370 0.740
Pd2 0.630 0.630 0.260

## Properties
The energy of formation from the pure elements is -0.30 eV/atom. The calculation puts the total magnetization at 0.00 Bohr magnetons per cell. Its density of states at the Fermi level is 2.27 states/eV per cell.


This record from Alexandria via LeMat-Bulk describes an optimized crystal structure of TlNi3C. The functional is GGA-PBEsol.

Unit cell a=4.631 b=4.631 c=4.631 alpha=90.00 beta=90.00 gamma=90.00
Last column: magnetic moment on the atom in μB.
Element x y z (fractional)
Ni1 0.000 0.500 0.000  0.24
Ni2 0.000 0.000 0.500  0.24
Ni3 0.500 0.000 0.000  0.24
Tl1 0.000 0.000 0.000  -0.01
C1 0.500 0.500 0.500  -0.03

## Properties
The energy of formation from the pure elements is 2.79 eV/atom. The calculation puts the total magnetization at 0.66 Bohr magnetons per cell. Its density of states at the Fermi level is 10.13 states/eV per cell.


This record from Alexandria via LeMat-Bulk describes an optimized crystal structure of SrMnFe2. The functional is GGA-PBEsol.

Unit cell a=3.948 b=4.098 c=4.098 alpha=90.00 beta=90.00 gamma=90.00
Last column: magnetic moment on the atom in μB.
Element x y z (fractional)
Fe1 0.000 0.000 0.500  2.55
Fe2 0.000 0.500 0.000  2.55
Mn1 0.500 0.500 0.500  3.40
Sr1 0.500 0.000 0.000  -0.06

## Properties
The energy of formation from the pure elements is 1.01 eV/atom. The calculation puts the total magnetization at 8.53 Bohr magnetons per cell. Its density of states at the Fermi level is 4.02 states/eV per cell.


This record from Alexandria via LeMat-Bulk describes an optimized crystal structure of BaAl2Se4. The functional is GGA-PBEsol.

Unit cell a=6.189 b=6.432 c=11.331 alpha=90.00 beta=90.00 gamma=118.76
Element x y z (fractional)
Ba1 0.000 0.000 0.750
Ba2 0.000 0.000 0.250
Se1 0.000 0.500 0.837
Se2 0.500 0.500 0.663
Se3 0.000 0.500 0.163
Se4 0.500 0.500 0.337
Se5 0.152 0.826 0.500
Se6 0.326 0.174 0.000
Se7 0.674 0.826 0.000
Se8 0.848 0.174 0.500
Al1 0.256 0.515 0.000
Al2 0.742 0.485 0.500
Al3 0.744 0.485 0.000
Al4 0.258 0.515 0.500

## Properties
For the formation energy from raw total energies, the calculation gives -123 kJ/mol of atoms. The calculation puts the total magnetization at 0.00 Bohr magnetons per cell. Its density of states at the Fermi level is 0.00 states/eV per cell.


This record from Alexandria via LeMat-Bulk describes an optimized crystal structure of Cs2TiGaCu. The functional is GGA-PBEsol.

Unit cell a=4.656 b=6.410 c=6.410 alpha=90.00 beta=90.00 gamma=90.00
Last column: magnetic moment on the atom in μB.
Element x y z (fractional)
Cs1 0.000 0.000 0.500  0.03
Cs2 0.000 0.500 0.000  0.03
Cu1 0.000 0.000 0.000  0.02
Ga1 0.500 0.000 0.000  0.03
Ti1 0.500 0.500 0.500  2.11

## Properties
The energy of formation from the pure elements is 0.99 eV/atom. The calculation puts the total magnetization at 3.41 Bohr magnetons per cell. Its density of states at the Fermi level is 10.07 states/eV per cell.


Question: Which formula does entry 8 have?
Answer: KGa2Pd2